(1)
Computed, not measured: crystalline Ca2Ac3Y2 at its relaxed geometry at the PBE-GGA level of DFT.

a b c (Å): 13.2720 13.2720 3.8023
angles (deg): 90.00 90.00 154.75
Element x y z (fractional)
Ca1 0.0748 0.9252 0.0000
Ca2 0.9252 0.0748 0.0000
Ac1 0.3418 0.6582 0.5000
Ac2 0.5000 0.5000 0.5000
Ac3 0.6582 0.3418 0.5000
Y1 0.2166 0.7834 0.0000
Y2 0.7834 0.2166 0.0000

Summary:
SG: Cmmm, No. 65
Electronic total energy in eV/atom: -4.1156

=====

(2)
Computed, not measured: crystalline Ca2Ac6Y3 at its relaxed geometry at the PBE-GGA level of DFT.

a b c (Å): 14.1952 14.1952 14.1952
angles (deg): 24.92 24.92 24.92
Element x y z (fractional)
Ca1 0.0444 0.0444 0.0444
Ca2 0.9556 0.9556 0.9556
Ac1 0.1354 0.1354 0.1354
Ac2 0.3134 0.3134 0.3134
Ac3 0.4105 0.4105 0.4105
Ac4 0.5895 0.5895 0.5895
Ac5 0.6866 0.6866 0.6866
Ac6 0.8646 0.8646 0.8646
Y1 0.2241 0.2241 0.2241
Y2 0.5000 0.5000 0.5000
Y3 0.7759 0.7759 0.7759

Summary:
SG: R-3m, No. 166
Electronic total energy in eV/atom: -4.2922

=====

(3)
Computed, not measured: crystalline Ca5Ac12Y2 at its relaxed geometry at the PBE-GGA level of DFT.

a b c (Å): 11.6486 11.6486 6.7273
angles (deg): 100.31 100.31 66.99
Element x y z (fractional)
Ca1 0.0000 0.0000 0.0000
Ca2 0.2176 0.2176 0.0669
Ca3 0.3235 0.3235 0.6445
Ca4 0.6765 0.6765 0.3555
Ca5 0.7824 0.7824 0.9331
Ac1 0.0607 0.5490 0.3058
Ac2 0.1058 0.1058 0.5221
Ac3 0.1440 0.6555 0.8834
Ac4 0.3445 0.8560 0.1166
Ac5 0.4468 0.4468 0.2248
Ac6 0.4510 0.9393 0.6942
Ac7 0.5490 0.0607 0.3058
Ac8 0.5532 0.5532 0.7752
Ac9 0.6555 0.1440 0.8834
Ac10 0.8560 0.3445 0.1166
Ac11 0.8942 0.8942 0.4779
Ac12 0.9393 0.4510 0.6942
Y1 0.2433 0.7567 0.5000
Y2 0.7567 0.2433 0.5000

Summary:
SG: C2/m, No. 12
Electronic total energy in eV/atom: -3.6900

=====

(4)
Computed, not measured: crystalline Ca2AcY at its relaxed geometry at the PBE-GGA level of DFT.

a b c (Å): 6.0610 6.0610 6.0610
angles (deg): 60.00 60.00 60.00
Element x y z (fractional)
Ca1 0.2500 0.2500 0.2500
Ca2 0.7500 0.7500 0.7500
Ac1 0.0000 0.0000 0.0000
Y1 0.5000 0.5000 0.5000

Summary:
Offset from the most stable computed form in kJ per mole of atoms: 2.67
SG: Fm-3m, No. 225
Electronic total energy in eV/atom: -3.5288

=====

(5)
Computed, not measured: crystalline CaAc6Y at its relaxed geometry at the PBE-GGA level of DFT.

a b c (Å): 5.5502 5.5502 11.0925
angles (deg): 90.00 90.00 90.00
Element x y z (fractional)
Ca1 0.0000 0.0000 0.0000
Ac1 0.0000 0.5000 0.2561
Ac2 0.0000 0.5000 0.7439
Ac3 0.5000 0.0000 0.2561
Ac4 0.5000 0.0000 0.7439
Ac5 0.5000 0.5000 0.0000
Ac6 0.5000 0.5000 0.5000
Y1 0.0000 0.0000 0.5000

Summary:
SG: P4/mmm, No. 123
Electronic total energy in eV/atom: -4.1158

=====

(6)
Computed, not measured: crystalline CaAc2Y at its relaxed geometry at the PBE-GGA level of DFT.

a b c (Å): 5.6749 5.6749 5.0118
angles (deg): 90.00 90.00 90.00
Element x y z (fractional)
Ca1 0.0000 0.0000 0.0000
Ac1 0.0000 0.5000 0.5000
Ac2 0.5000 0.0000 0.5000
Y1 0.5000 0.5000 0.0000

Summary:
Offset from the most stable computed form in kJ per mole of atoms: 3.57
SG: P4/mmm, No. 123
Electronic total energy in eV/atom: -4.0939

=====

(7)
Computed, not measured: crystalline CaAc4Y at its relaxed geometry at the PBE-GGA level of DFT.

a b c (Å): 7.2703 7.2703 7.2703
angles (deg): 60.00 60.00 60.00
Element x y z (fractional)
Ca1 0.0000 0.0000 0.0000
Ac1 0.1282 0.6239 0.6239
Ac2 0.6239 0.1282 0.6239
Ac3 0.6239 0.6239 0.1282
Ac4 0.6239 0.6239 0.6239
Y1 0.2500 0.2500 0.2500

Summary:
Offset from the most stable computed form in kJ per mole of atoms: 24.10
SG: F-43m, No. 216
Electronic total energy in eV/atom: -3.8625

=====

(8)
Computed, not measured: crystalline CaAc4Y at its relaxed geometry at the PBE-GGA level of DFT.

a b c (Å): 10.1005 6.8371 7.4221
angles (deg): 90.00 96.10 90.00
Element x y z (fractional)
Ca1 0.0000 0.0771 0.2500
Ca2 0.0000 0.9229 0.7500
Ac1 0.1737 0.4215 0.9219
Ac2 0.1737 0.5785 0.4219
Ac3 0.3380 0.0900 0.5832
Ac4 0.3380 0.9100 0.0832
Ac5 0.6620 0.0900 0.9168
Ac6 0.6620 0.9100 0.4168
Ac7 0.8263 0.4215 0.5781
Ac8 0.8263 0.5785 0.0781
Y1 0.5000 0.4202 0.2500
Y2 0.5000 0.5798 0.7500

Summary:
Offset from the most stable computed form in kJ per mole of atoms: 0.00
SG: P2/c, No. 13
Electronic total energy in eV/atom: -4.1123

=====

(9)
Computed, not measured: crystalline CaAcY at its relaxed geometry at the PBE-GGA level of DFT.

a b c (Å): 8.4300 8.4300 8.4300
angles (deg): 153.58 153.58 37.70
Element x y z (fractional)
Ca1 0.0000 0.0000 0.0000
Ac1 0.6821 0.6821 0.0000
Y1 0.3368 0.3368 0.0000

Summary:
Offset from the most stable computed form in kJ per mole of atoms: 1.85
SG: I4mm, No. 107
Electronic total energy in eV/atom: -4.1319

=====

(10)
Computed, not measured: crystalline CaAc15Y4 at its relaxed geometry at the PBE-GGA level of DFT.

a b c (Å): 5.5248 5.5248 27.5367
angles (deg): 90.00 90.00 90.00
Element x y z (fractional)
Ca1 0.0000 0.0000 0.0000
Ac1 0.0000 0.5000 0.1034
Ac2 0.0000 0.5000 0.3013
Ac3 0.0000 0.5000 0.5000
Ac4 0.0000 0.5000 0.6987
Ac5 0.0000 0.5000 0.8966
Ac6 0.5000 0.0000 0.1034
Ac7 0.5000 0.0000 0.3013
Ac8 0.5000 0.0000 0.5000
Ac9 0.5000 0.0000 0.6987
Ac10 0.5000 0.0000 0.8966
Ac11 0.5000 0.5000 0.0000
Ac12 0.5000 0.5000 0.2017
Ac13 0.5000 0.5000 0.4003
Ac14 0.5000 0.5000 0.5997
Ac15 0.5000 0.5000 0.7983
Y1 0.0000 0.0000 0.2014
Y2 0.0000 0.0000 0.4006
Y3 0.0000 0.0000 0.5994
Y4 0.0000 0.0000 0.7986

Summary:
SG: P4/mmm, No. 123
Electronic total energy in eV/atom: -4.4503

=====

(11)
Computed, not measured: crystalline CaAc2Y at its relaxed geometry at the PBE-GGA level of DFT.

a b c (Å): 12.7842 12.7842 12.7842
angles (deg): 17.38 17.38 17.38
Element x y z (fractional)
Ca1 0.0000 0.0000 0.0000
Ac1 0.5793 0.5793 0.5793
Ac2 0.7548 0.7548 0.7548
Y1 0.1671 0.1671 0.1671

Summary:
Offset from the most stable computed form in kJ per mole of atoms: 0.00
SG: R3m, No. 160
Electronic total energy in eV/atom: -4.1309

=====

(12)
Computed, not measured: crystalline Ca2Ac8Y at its relaxed geometry at the PBE-GGA level of DFT.

a b c (Å): 9.2322 9.2322 5.9586
angles (deg): 90.00 90.00 105.08
Element x y z (fractional)
Ca1 0.1177 0.8823 0.0000
Ca2 0.8823 0.1177 0.0000
Ac1 0.1747 0.1747 0.5000
Ac2 0.2008 0.4657 0.0000
Ac3 0.2514 0.7486 0.5000
Ac4 0.4657 0.2008 0.0000
Ac5 0.5343 0.7992 0.0000
Ac6 0.7486 0.2514 0.5000
Ac7 0.7992 0.5343 0.0000
Ac8 0.8253 0.8253 0.5000
Y1 0.5000 0.5000 0.5000

Summary:
SG: Cmmm, No. 65
Electronic total energy in eV/atom: -3.7761

=====

(13)
Computed, not measured: crystalline Ca3Ac8Y2 at its relaxed geometry at the PBE-GGA level of DFT.

a b c (Å): 12.1051 12.1051 6.1847
angles (deg): 90.08 90.08 38.97
Element x y z (fractional)
Ca1 0.0000 0.0000 0.0000
Ca2 0.2728 0.7272 0.5000
Ca3 0.7272 0.2728 0.5000
Ac1 0.1457 0.1457 0.5000
Ac2 0.1674 0.6064 0.0001
Ac3 0.3213 0.3213 0.4998
Ac4 0.3936 0.8326 0.9999
Ac5 0.6064 0.1674 0.0001
Ac6 0.6787 0.6787 0.5002
Ac7 0.8326 0.3936 0.9999
Ac8 0.8543 0.8543 0.5000
Y1 0.2425 0.2425 0.9999
Y2 0.7575 0.7575 0.0001

Summary:
SG: C2/m, No. 12
Electronic total energy in eV/atom: -3.7726

=====

(14)
Computed, not measured: crystalline Ca2Ac7Y2 at its relaxed geometry at the PBE-GGA level of DFT.

a b c (Å): 7.0904 7.0904 9.5429
angles (deg): 97.50 97.50 93.22
Element x y z (fractional)
Ca1 0.0955 0.0955 0.3507
Ca2 0.9045 0.9045 0.6493
Ac1 0.0589 0.4280 0.7161
Ac2 0.3530 0.3530 0.0913
Ac3 0.4280 0.0589 0.7161
Ac4 0.5000 0.5000 0.5000
Ac5 0.5720 0.9411 0.2839
Ac6 0.6470 0.6470 0.9087
Ac7 0.9411 0.5720 0.2839
Y1 0.1690 0.8310 0.0000
Y2 0.8310 0.1690 0.0000

Summary:
SG: C2/m, No. 12
Electronic total energy in eV/atom: -4.0183

=====

(15)
Computed, not measured: crystalline Ca2AcY at its relaxed geometry at the PBE-GGA level of DFT.

a b c (Å): 6.5048 3.8400 6.6456
angles (deg): 90.00 108.22 90.00
Element x y z (fractional)
Ca1 0.0000 0.0000 0.0000
Ca2 0.5000 0.5000 0.0000
Ac1 0.0000 0.5000 0.5000
Y1 0.5000 0.0000 0.5000

Summary:
Offset from the most stable computed form in kJ per mole of atoms: 0.31
SG: P2/m, No. 10
Electronic total energy in eV/atom: -3.5532

=====

(16)
Computed, not measured: crystalline CaAc8Y2 at its relaxed geometry at the PBE-GGA level of DFT.

a b c (Å): 9.7168 9.7168 7.4286
angles (deg): 104.15 104.15 45.21
Element x y z (fractional)
Ca1 0.0000 0.0000 0.0000
Ac1 0.1722 0.6413 0.3096
Ac2 0.2091 0.2091 0.4252
Ac3 0.3587 0.8278 0.6904
Ac4 0.4037 0.4037 0.8062
Ac5 0.5963 0.5963 0.1938
Ac6 0.6413 0.1722 0.3096
Ac7 0.7909 0.7909 0.5748
Ac8 0.8278 0.3587 0.6904
Y1 0.2352 0.2352 0.9727
Y2 0.7648 0.7648 0.0273

Summary:
SG: C2/m, No. 12
Electronic total energy in eV/atom: -4.1570

=====

(17)
Computed, not measured: crystalline CaAc2Y at its relaxed geometry at the PBE-GGA level of DFT.

a b c (Å): 3.9076 3.9076 10.7318
angles (deg): 90.00 90.00 90.00
Element x y z (fractional)
Ca1 0.0000 0.0000 0.0000
Ac1 0.5000 0.5000 0.2639
Ac2 0.5000 0.5000 0.7361
Y1 0.0000 0.0000 0.5000

Summary:
Offset from the most stable computed form in kJ per mole of atoms: 0.27
SG: P4/mmm, No. 123
Electronic total energy in eV/atom: -4.1281

=====

(18)
Computed, not measured: crystalline CaAc3Y at its relaxed geometry at the PBE-GGA level of DFT.

a b c (Å): 10.3106 10.3106 8.0943
angles (deg): 90.00 90.00 90.96
Element x y z (fractional)
Ca1 0.2456 0.2544 0.2500
Ca2 0.2544 0.2456 0.7500
Ca3 0.7456 0.7544 0.2500
Ca4 0.7544 0.7456 0.7500
Ac1 0.0968 0.9032 0.3736
Ac2 0.1038 0.6058 0.1191
Ac3 0.1058 0.6038 0.6191
Ac4 0.3942 0.8962 0.1191
Ac5 0.3962 0.8942 0.6191
Ac6 0.4032 0.5968 0.8736
Ac7 0.5968 0.4032 0.1264
Ac8 0.6038 0.1058 0.3809
Ac9 0.6058 0.1038 0.8809
Ac10 0.8942 0.3962 0.3809
Ac11 0.8962 0.3942 0.8809
Ac12 0.9032 0.0968 0.6264
Y1 0.0986 0.9014 0.8809
Y2 0.4014 0.5986 0.3809
Y3 0.5986 0.4014 0.6191
Y4 0.9014 0.0986 0.1191

Summary:
Offset from the most stable computed form in kJ per mole of atoms: 10.29
SG: Cmce, No. 64
Electronic total energy in eV/atom: -3.9897

=====

(19)
Computed, not measured: crystalline CaAcY at its relaxed geometry at the PBE-GGA level of DFT.

a b c (Å): 3.8198 3.8198 9.3257
angles (deg): 90.00 90.00 120.00
Element x y z (fractional)
Ca1 0.0000 0.0000 0.0000
Ac1 0.6667 0.3333 0.3591
Y1 0.3333 0.6667 0.6735

Summary:
Offset from the most stable computed form in kJ per mole of atoms: 1.61
SG: P3m1, No. 156
Electronic total energy in eV/atom: -4.1343

=====

(20)
Computed, not measured: crystalline Ca2AcY at its relaxed geometry at the PBE-GGA level of DFT.

a b c (Å): 12.7186 12.7186 12.7186
angles (deg): 17.27 17.27 17.27
Element x y z (fractional)
Ca1 0.0000 0.0000 0.0000
Ca2 0.1588 0.1588 0.1588
Ac1 0.5796 0.5796 0.5796
Y1 0.4130 0.4130 0.4130

Summary:
Offset from the most stable computed form in kJ per mole of atoms: 0.00
SG: R3m, No. 160
Electronic total energy in eV/atom: -3.5564

=====

(21)
Computed, not measured: crystalline CaAc5Y4 at its relaxed geometry at the PBE-GGA level of DFT.

a b c (Å): 3.9240 3.9240 25.5311
angles (deg): 90.00 90.00 90.00
Element x y z (fractional)
Ca1 0.0000 0.0000 0.0000
Ac1 0.5000 0.5000 0.1099
Ac2 0.5000 0.5000 0.3055
Ac3 0.5000 0.5000 0.5000
Ac4 0.5000 0.5000 0.6945
Ac5 0.5000 0.5000 0.8901
Y1 0.0000 0.0000 0.2070
Y2 0.0000 0.0000 0.4024
Y3 0.0000 0.0000 0.5976
Y4 0.0000 0.0000 0.7930

Summary:
SG: P4/mmm, No. 123
Electronic total energy in eV/atom: -4.7952

=====

(22)
Computed, not measured: crystalline CaAc3Y2 at its relaxed geometry at the PBE-GGA level of DFT.

a b c (Å): 3.9087 3.9087 15.7268
angles (deg): 90.00 90.00 90.00
Element x y z (fractional)
Ca1 0.0000 0.0000 0.0000
Ac1 0.5000 0.5000 0.1796
Ac2 0.5000 0.5000 0.5000
Ac3 0.5000 0.5000 0.8204
Y1 0.0000 0.0000 0.3393
Y2 0.0000 0.0000 0.6607

Summary:
SG: P4/mmm, No. 123
Electronic total energy in eV/atom: -4.5020

=====

(23)
Computed, not measured: crystalline CaAc14Y at its relaxed geometry at the PBE-GGA level of DFT.

a b c (Å): 11.1964 7.9293 7.9293
angles (deg): 90.02 90.00 90.00
Element x y z (fractional)
Ca1 0.0000 0.0000 0.0000
Ac1 0.0000 0.9998 0.5005
Ac2 0.0000 0.5005 0.9998
Ac3 0.2473 0.2532 0.2532
Ac4 0.2478 0.2532 0.7470
Ac5 0.2478 0.7470 0.2532
Ac6 0.2482 0.7469 0.7469
Ac7 0.5000 0.0001 0.0001
Ac8 0.5000 0.0003 0.4996
Ac9 0.5000 0.4996 0.0003
Ac10 0.5000 0.4998 0.4998
Ac11 0.7522 0.2532 0.7470
Ac12 0.7522 0.7470 0.2532
Ac13 0.7518 0.7469 0.7469
Ac14 0.7527 0.2532 0.2532
Y1 0.0000 0.5003 0.5003

Summary:
SG: Amm2, No. 38
Electronic total energy in eV/atom: -4.1050